LaNdAg2Bi4 | PBE-GGA | optimized geometry

Values from the calculation:
Crystal system ... tetragonal
E_tot ... -36.07 eV/f.u.

Cell lengths 4.601, 4.601, 10.534 Å; angles 90.00, 90.00, 90.00 degrees
Atoms (fractional coordinates):
Ag: 0.500 0.000 0.999
Ag: 0.000 0.500 0.999
Bi: 0.500 0.500 0.182
Bi: 0.500 0.000 0.502
Bi: 0.000 0.500 0.502
Bi: 0.000 0.000 0.817
La: 0.000 0.000 0.250
Nd: 0.500 0.500 0.749